5
Lattice="4.564 0.000 0.000 0.000 4.564 0.000 0.000 0.000 5.406" Properties=species:S:1:pos:R:3 comment="SrAsRh2S GGA-PBE optimized geometry" raw_formation_energy_ev_per_atom=-0.252 total_energy_ev_per_cell=-26.423 pbc="T T T"
Sr 0.000 0.000 0.000
As 2.282 2.282 2.703
Rh 0.000 2.282 2.703
Rh 2.282 0.000 2.703
S 2.282 2.282 0.000

---

12
Lattice="3.470 0.000 0.000 -1.735 3.005 0.000 0.000 0.000 35.016" Properties=species:S:1:pos:R:3 comment="Tl2SbPb GGA-PBE optimized geometry" raw_formation_energy_ev_per_atom=0.065 total_energy_ev_per_cell=-36.909 pbc="T T T"
Tl 0.000 0.000 8.626
Tl 0.000 0.000 26.391
Tl 0.000 2.003 14.719
Tl 0.000 2.003 31.970
Tl 1.735 1.002 3.047
Tl 1.735 1.002 20.298
Sb 0.000 0.000 17.508
Sb 0.000 2.003 5.836
Sb 1.735 1.002 29.180
Pb 0.000 0.000 0.000
Pb 0.000 2.003 23.344
Pb 1.735 1.002 11.672